# 1
Compound: Rb2TaSe
Source: Alexandria via LeMat-Bulk
Functional: PBE-GGA
Structure: relaxed

## Properties
- mass density (Mg/m³) = 3.32
- D(E_F) (states/eV per cell) = 7.11
- formation energy (no corrections) (meV per atom) = 385
- DFT total energy (eV per atom) = -3.933

Cell: 13.1751 13.1751 4.9701 Å, 90.00 90.00 90.00°
Last column: nearest neighbours and their distance in Å.
Space group I-42d (No. 122)
One atom of each set of equivalent atoms:
Rb 0.0682 0.2500 0.1250 x8  2 Se 3.47
Ta 0.0000 0.0000 0.5000 x4  2 Se 2.49
Se 0.0000 0.0000 0.0000 x4  2 Ta 2.49

# 2
Compound: RbTaSe4
Source: Alexandria via LeMat-Bulk
Functional: PBE-GGA
Structure: relaxed

## Properties
- mass density (Mg/m³) = 4.81
- D(E_F) (states/eV per cell) = 9.83
- formation energy (no corrections) (meV per atom) = -661
- DFT total energy (eV per atom) = -5.120
- relative energy among the computed polymorphs (eV/atom) = 0.000

Cell: 9.2282 14.3803 6.5398 Å, 90.00 112.09 90.00°
Last column: nearest neighbours and their distance in Å.
Space group C2/c (No. 15)
One atom of each set of equivalent atoms:
Rb 0.0000 0.1480 0.2500 x4  6 Se 3.56-3.80
Ta 0.0000 0.5000 0.2500 x4  8 Se 2.65-2.67
Se 0.0837 0.3639 0.5451 x8  2 Ta 2.65, 1 Se 2.86
Se 0.2257 0.4399 0.1198 x8  2 Ta 2.67, 1 Se 2.86

# 3
Compound: RbTaSe4
Source: Alexandria via LeMat-Bulk
Functional: PBE-GGA
Structure: relaxed

## Properties
- mass density (Mg/m³) = 5.31
- D(E_F) (states/eV per cell) = 14.19
- formation energy (no corrections) (meV per atom) = -642
- DFT total energy (eV per atom) = -5.101
- relative energy among the computed polymorphs (eV/atom) = 0.019

Cell: 15.5778 7.9065 5.9127 Å, 90.00 91.65 90.00°
Last column: nearest neighbours and their distance in Å.
Space group C2/m (No. 12)
One atom of each set of equivalent atoms:
Rb 0.1901 0.0000 0.2165 x4  8 Se 3.54-3.76
Ta 0.0208 0.5000 0.2690 x4  7 Se 2.55-2.85, 1 Ta 2.83
Se 0.0000 0.2368 0.0000 x4  2 Ta 2.63, 2 Se 2.83
Se 0.0995 0.2953 0.6141 x8  2 Ta 2.59-2.85, 1 Se 2.83
Se 0.1846 0.5000 0.2750 x4  1 Ta 2.55

Repeat the second record exactly.
Compound: RbTaSe4
Source: Alexandria via LeMat-Bulk
Functional: PBE-GGA
Structure: relaxed

## Properties
- mass density (Mg/m³) = 4.81
- D(E_F) (states/eV per cell) = 9.83
- formation energy (no corrections) (meV per atom) = -661
- DFT total energy (eV per atom) = -5.120
- relative energy among the computed polymorphs (eV/atom) = 0.000

Cell: 9.2282 14.3803 6.5398 Å, 90.00 112.09 90.00°
Last column: nearest neighbours and their distance in Å.
Space group C2/c (No. 15)
One atom of each set of equivalent atoms:
Rb 0.0000 0.1480 0.2500 x4  6 Se 3.56-3.80
Ta 0.0000 0.5000 0.2500 x4  8 Se 2.65-2.67
Se 0.0837 0.3639 0.5451 x8  2 Ta 2.65, 1 Se 2.86
Se 0.2257 0.4399 0.1198 x8  2 Ta 2.67, 1 Se 2.86

> Number 3 is which compound?

RbTaSe4

> Which value of formation energy (no corrections) does entry 1 give?

385 meV per atom